## Ba2BeSi (PBE-GGA)

Data for a relaxed structure of Ba2BeSi.

a b c (Å): 4.0292 3.9544 8.9482
angles (deg): 63.80 90.00 90.00
With the nearest neighbours (Å) after each atom.
Sites, in units of the cell vectors:
Be1 0.5000 0.2500 0.2500  8 Ba 3.49
Si1 0.5000 0.7500 0.7500  8 Ba 3.44
Ba1 0.0000 0.0047 0.9953  4 Si 3.44, 4 Be 3.49
Ba2 0.0000 0.4953 0.5047  4 Si 3.44, 4 Be 3.49

Properties
The calculation puts the spin magnetization at 0.00 Bohr magnetons per cell. The uncorrected formation energy is 0.281 eV/atom. As for the energy above the lowest structure with this stoichiometry: 0.435 eV/atom. As for the crystal system: orthorhombic.